First-principles (PBE) data for BaNpTeS2 after structural relaxation, as listed in Alexandria.

Results
ΔE_f (raw), eV/atom: -1.426
Total DFT energy (no corrections), eV/atom: -6.678
Total magnetization, μB/cell: 3.00

Cell lengths 5.2171, 5.2171, 6.1457 Å; angles 90.00, 90.00, 90.00 degrees
Closest atoms and distances in Å follow each position.
Fractional positions:
Ba 0.0000 0.0000 0.0000  4 S 3.27
Np 0.5000 0.5000 0.3618  4 S 2.62
Te 0.5000 0.5000 0.8555  2 Np 3.03-3.11
S 0.0000 0.5000 0.3217  2 Np 2.62
S 0.5000 0.0000 0.3217  2 Np 2.62

---

First-principles (PBE) data for Ba2ThNpS6 after structural relaxation, as listed in Alexandria.

Results
ΔE_f (raw), eV/atom: -1.846
Total DFT energy (no corrections), eV/atom: -6.743
Total magnetization, μB/cell: 6.00

Cell lengths 7.3149, 7.6044, 12.7860 Å; angles 90.00, 124.75, 90.00 degrees
Closest atoms and distances in Å follow each position.
Fractional positions:
Ba 0.2318 0.0617 0.2499  6 S 3.19-3.44
Ba 0.2318 0.4383 0.7499  6 S 3.19-3.44
Ba 0.7682 0.5617 0.2501  6 S 3.19-3.44
Ba 0.7682 0.9383 0.7501  6 S 3.19-3.44
Th 0.5000 0.0000 0.0000  6 S 2.76-2.78
Th 0.5000 0.5000 0.5000  6 S 2.76-2.78
Np 0.0000 0.0000 0.5000  6 S 2.68-2.70
Np 0.0000 0.5000 0.0000  6 S 2.68-2.70
S 0.1487 0.2076 0.9506  1 Np 2.70, 1 Th 2.77
S 0.1487 0.2924 0.4506  1 Np 2.70, 1 Th 2.77
S 0.2440 0.7009 0.9508  1 Np 2.68, 1 Th 2.78
S 0.2440 0.7991 0.4508  1 Np 2.68, 1 Th 2.78
S 0.3382 0.0265 0.7459  1 Np 2.68, 1 Th 2.76
S 0.3382 0.4735 0.2459  1 Np 2.68, 1 Th 2.76
S 0.6618 0.5265 0.7541  1 Np 2.68, 1 Th 2.76
S 0.6618 0.9735 0.2541  1 Np 2.68, 1 Th 2.76
S 0.7560 0.2009 0.5492  1 Np 2.68, 1 Th 2.78
S 0.7560 0.2991 0.0492  1 Np 2.68, 1 Th 2.78
S 0.8513 0.7076 0.5494  1 Np 2.70, 1 Th 2.77
S 0.8513 0.7924 0.0494  1 Np 2.70, 1 Th 2.77